Below is a relaxed structure of ZrFeIrO6, with properties calculated at the PBE+U level.

Values from the calculation:
E ... -7.505 eV per atom
D(E_F) ... 0.487 states/eV/atom

Cell: 5.1753 5.1753 8.9815 Å, 90.00 90.00 120.00°
Closest atoms and distances in Å follow each position.
Space group P-31c (No. 163)
Asymmetric unit:
Zr1 0.3333 0.6667 0.2500 [2 per cell]  6 O 2.11
Fe1 0.0000 0.0000 0.0000 [2 per cell]  6 O 2.06
Ir1 0.3333 0.6667 0.7500 [2 per cell]  6 O 2.00
O1 0.0176 0.3422 0.6255 [12 per cell]  1 Ir 2.00, 1 Fe 2.06, 1 Zr 2.11